[1]
This record from the Alexandria database describes TcNi2 at its PBEsol-relaxed geometry. The functional is meta-GGA SCAN.

Geometry as POSCAR:
```
TcNi2
1.0
-1.269 1.818 3.733
1.269 -1.818 3.733
1.269 1.818 -3.733
Tc Ni
1 2
direct
0.000 0.000 0.000 Tc
0.333 0.333 0.000 Ni
0.667 0.667 0.000 Ni
```

Computed properties:
- Formation energy from the elements: 22 meV per atom
- N(E_F): 1.94 states/eV/f.u.
- Polymorph energy (0 for the lowest one): 20 meV per atom
- SG: Immm, No. 71
- Uncorrected energy: -22.447 eV/atom


[2]
This record from the Alexandria database describes MnNiBr2 at its PBEsol-relaxed geometry. The functional is meta-GGA SCAN.

Geometry as POSCAR:
```
MnNiBr2
1.0
0.000 3.254 3.254
3.254 0.000 3.254
3.254 3.254 0.000
Mn Ni Br
1 1 2
direct
0.000 0.000 0.000 Mn
0.500 0.500 0.500 Ni
0.250 0.250 0.250 Br
0.750 0.750 0.750 Br
```

Computed properties:
- N(E_F): 0.43 states/eV/f.u.
- Polymorph energy (0 for the lowest one): 574 meV per atom
- SG: Fm-3m, No. 225
- Uncorrected energy: -18.161 eV/atom
- ΔE_f (raw): 0.175 eV/atom


[3]
This record from the Alexandria database describes Nd2Sn5 at its PBEsol-relaxed geometry. The functional is meta-GGA SCAN.

Geometry as POSCAR:
```
Nd2Sn5
1.0
2.280 -17.393 0.000
2.280 17.393 0.000
0.000 0.000 4.601
Nd Sn
4 10
direct
0.070 0.930 0.000 Nd
0.204 0.796 0.000 Nd
0.796 0.204 0.000 Nd
0.930 0.070 0.000 Nd
0.000 0.000 0.500 Sn
0.139 0.861 0.500 Sn
0.280 0.720 0.500 Sn
0.361 0.639 0.000 Sn
0.429 0.571 0.500 Sn
0.500 0.500 0.000 Sn
0.571 0.429 0.500 Sn
0.639 0.361 0.000 Sn
0.720 0.280 0.500 Sn
0.861 0.139 0.500 Sn
```

Computed properties:
- Formation energy from the elements: -641 meV per atom
- N(E_F): 2.26 states/eV/f.u.
- SG: Cmmm, No. 65
- Uncorrected energy: -38.751 eV/atom